Density functional theory data (PBE) for crystalline Tl12In3Hg5 at its relaxed geometry.

Unit cell a=15.5759 b=15.5759 c=15.5759 alpha=109.47 beta=109.47 gamma=109.47
Last column: nearest neighbours and their distance in Å.
Positions (direct):
Tl1 0.0611 0.2282 0.1351  2 Hg 2.99-3.07, 1 In 3.16
Tl2 0.0611 0.3329 0.9260  2 Hg 2.99-3.07, 1 In 3.16
Tl3 0.0740 0.6351 0.4069  2 Hg 2.99-3.07, 1 In 3.16
Tl4 0.0740 0.9389 0.6671  2 Hg 2.99-3.07, 1 In 3.16
Tl5 0.0931 0.7282 0.6671  2 Hg 2.99-3.07, 1 In 3.16
Tl6 0.0931 0.8649 0.4260  2 Hg 2.99-3.07, 1 In 3.16
Tl7 0.1351 0.0611 0.2282  2 Hg 2.99-3.07, 1 In 3.16
Tl8 0.1351 0.5740 0.9069  2 Hg 2.99-3.07, 1 In 3.16
Tl9 0.1671 0.2282 0.5931  2 Hg 2.99-3.07, 1 In 3.16
Tl10 0.1671 0.4389 0.5740  2 Hg 2.99-3.07, 1 In 3.16
Tl11 0.2282 0.1351 0.0611  2 Hg 2.99-3.07, 1 In 3.16
Tl12 0.2282 0.5931 0.1671  2 Hg 2.99-3.07, 1 In 3.16
Tl13 0.2718 0.3329 0.9069  2 Hg 2.99-3.07, 1 In 3.16
Tl14 0.2718 0.4389 0.3649  2 Hg 2.99-3.07, 1 In 3.16
Tl15 0.3329 0.9069 0.2718  2 Hg 2.99-3.07, 1 In 3.16
Tl16 0.3329 0.9260 0.0611  2 Hg 2.99-3.07, 1 In 3.16
Tl17 0.3649 0.2718 0.4389  2 Hg 2.99-3.07, 1 In 3.16
Tl18 0.3649 0.5931 0.9260  2 Hg 2.99-3.07, 1 In 3.16
Tl19 0.4069 0.0740 0.6351  2 Hg 2.99-3.07, 1 In 3.16
Tl20 0.4069 0.8329 0.7718  2 Hg 2.99-3.07, 1 In 3.16
Tl21 0.4260 0.0931 0.8649  2 Hg 2.99-3.07, 1 In 3.16
Tl22 0.4260 0.8329 0.5611  2 Hg 2.99-3.07, 1 In 3.16
Tl23 0.4389 0.3649 0.2718  2 Hg 2.99-3.07, 1 In 3.16
Tl24 0.4389 0.5740 0.1671  2 Hg 2.99-3.07, 1 In 3.16
Tl25 0.5611 0.4260 0.8329  2 Hg 2.99-3.07, 1 In 3.16
Tl26 0.5611 0.6351 0.7282  2 Hg 2.99-3.07, 1 In 3.16
Tl27 0.5740 0.1671 0.4389  2 Hg 2.99-3.07, 1 In 3.16
Tl28 0.5740 0.9069 0.1351  2 Hg 2.99-3.07, 1 In 3.16
Tl29 0.5931 0.1671 0.2282  2 Hg 2.99-3.07, 1 In 3.16
Tl30 0.5931 0.9260 0.3649  2 Hg 2.99-3.07, 1 In 3.16
Tl31 0.6351 0.4069 0.0740  2 Hg 2.99-3.07, 1 In 3.16
Tl32 0.6351 0.7282 0.5611  2 Hg 2.99-3.07, 1 In 3.16
Tl33 0.6671 0.0740 0.9389  2 Hg 2.99-3.07, 1 In 3.16
Tl34 0.6671 0.0931 0.7282  2 Hg 2.99-3.07, 1 In 3.16
Tl35 0.7282 0.5611 0.6351  2 Hg 2.99-3.07, 1 In 3.16
Tl36 0.7282 0.6671 0.0931  2 Hg 2.99-3.07, 1 In 3.16
Tl37 0.7718 0.4069 0.8329  2 Hg 2.99-3.07, 1 In 3.16
Tl38 0.7718 0.8649 0.9389  2 Hg 2.99-3.07, 1 In 3.16
Tl39 0.8329 0.5611 0.4260  2 Hg 2.99-3.07, 1 In 3.16
Tl40 0.8329 0.7718 0.4069  2 Hg 2.99-3.07, 1 In 3.16
Tl41 0.8649 0.4260 0.0931  2 Hg 2.99-3.07, 1 In 3.16
Tl42 0.8649 0.9389 0.7718  2 Hg 2.99-3.07, 1 In 3.16
Tl43 0.9069 0.1351 0.5740  2 Hg 2.99-3.07, 1 In 3.16
Tl44 0.9069 0.2718 0.3329  2 Hg 2.99-3.07, 1 In 3.16
Tl45 0.9260 0.0611 0.3329  2 Hg 2.99-3.07, 1 In 3.16
Tl46 0.9260 0.3649 0.5931  2 Hg 2.99-3.07, 1 In 3.16
Tl47 0.9389 0.6671 0.0740  2 Hg 2.99-3.07, 1 In 3.16
Tl48 0.9389 0.7718 0.8649  2 Hg 2.99-3.07, 1 In 3.16
In1 0.1250 0.2500 0.3750  8 Tl 3.16-3.39
In2 0.1250 0.3750 0.7500  8 Tl 3.16-3.39
In3 0.2500 0.3750 0.1250  8 Tl 3.16-3.39
In4 0.2500 0.8750 0.6250  8 Tl 3.16-3.39
In5 0.3750 0.1250 0.2500  8 Tl 3.16-3.39
In6 0.3750 0.7500 0.1250  8 Tl 3.16-3.39
In7 0.6250 0.2500 0.8750  8 Tl 3.16-3.39
In8 0.6250 0.8750 0.7500  8 Tl 3.16-3.39
In9 0.7500 0.1250 0.3750  8 Tl 3.16-3.39
In10 0.7500 0.6250 0.8750  8 Tl 3.16-3.39
In11 0.8750 0.6250 0.2500  8 Tl 3.16-3.39
In12 0.8750 0.7500 0.6250  8 Tl 3.16-3.39
Hg1 0.0000 0.0000 0.0000  6 Tl 3.07
Hg2 0.0000 0.0000 0.5000  6 Tl 3.07
Hg3 0.0000 0.5000 0.0000  6 Tl 3.07
Hg4 0.0000 0.5000 0.5000  6 Tl 3.07
Hg5 0.1250 0.7500 0.8750  4 Tl 2.99
Hg6 0.1250 0.8750 0.2500  4 Tl 2.99
Hg7 0.2500 0.1250 0.8750  4 Tl 2.99
Hg8 0.2500 0.6250 0.3750  4 Tl 2.99
Hg9 0.3750 0.2500 0.6250  4 Tl 2.99
Hg10 0.3750 0.6250 0.7500  4 Tl 2.99
Hg11 0.5000 0.0000 0.0000  6 Tl 3.07
Hg12 0.5000 0.0000 0.5000  6 Tl 3.07
Hg13 0.5000 0.5000 0.0000  6 Tl 3.07
Hg14 0.5000 0.5000 0.5000  6 Tl 3.07
Hg15 0.6250 0.3750 0.2500  4 Tl 2.99
Hg16 0.6250 0.7500 0.3750  4 Tl 2.99
Hg17 0.7500 0.3750 0.6250  4 Tl 2.99
Hg18 0.7500 0.8750 0.1250  4 Tl 2.99
Hg19 0.8750 0.1250 0.7500  4 Tl 2.99
Hg20 0.8750 0.2500 0.1250  4 Tl 2.99

Values from the calculation:
V	36.36	A^3/atom
theoretical density	8.7	g/cm³
symmetry	No. 230
E_tot	-140.45	eV per cell

=====

Density functional theory data (PBE) for crystalline TlInHg2 at its relaxed geometry.

Unit cell a=3.4850 b=4.5627 c=7.0159 alpha=90.00 beta=95.62 gamma=90.00
Last column: nearest neighbours and their distance in Å.
Positions (direct):
Tl1 0.0000 0.0000 0.0000  8 Hg 3.36-3.43, 2 Tl 3.48, 2 In 3.51
In1 0.0000 0.0000 0.5000  8 Hg 3.19-3.48, 2 In 3.48, 2 Tl 3.51
Hg1 0.4685 0.5000 0.7409  4 In 3.19-3.48, 4 Tl 3.36-3.43, 3 Hg 3.41-3.48
Hg2 0.5315 0.5000 0.2591  4 In 3.19-3.48, 4 Tl 3.36-3.43, 3 Hg 3.41-3.48

Values from the calculation:
V	27.76	A^3/atom
theoretical density	10.8	g/cm³
symmetry	No. 10
E_tot	-5.68	eV per cell